A relaxed SrCdTcHg2 crystal. Source: Alexandria via LeMat-Bulk, functional PBE.

Its space group is P4/mmm (123). The energy of formation from the pure elements comes out at 0.216 eV per atom.

```
data_SrCdTcHg2
_chemical_formula_sum 'Sr1 Cd1 Tc1 Hg2'
_space_group_name_H-M_alt 'P 1'
_space_group_IT_number 1
_cell_length_a 5.275
_cell_length_b 5.226
_cell_length_c 5.275
_cell_angle_alpha 90.00
_cell_angle_beta 90.00
_cell_angle_gamma 90.00
loop_
_space_group_symop_operation_xyz
'x,y,z'
loop_
_atom_site_label
_atom_site_fract_x
_atom_site_fract_y
_atom_site_fract_z
Tc1 0.000 0.000 0.000
Sr1 0.500 0.500 0.500
Hg1 0.000 0.000 0.500
Hg2 0.500 0.000 0.000
Cd1 0.000 0.500 0.000
```